# GGA-PBE Al2TlAg, optimized geometry
data_Al2TlAg
_chemical_formula_sum 'Al2 Tl1 Ag1'
_cell_length_a 2.9937
_cell_length_b 3.9357
_cell_length_c 7.0791
_cell_angle_alpha 90.00
_cell_angle_beta 90.00
_cell_angle_gamma 90.00
_space_group_name_H-M_alt 'P m m 2'
_space_group_IT_number 25
_space_group_name_Hall 'P 2 -2'
loop_
_atom_site_label
_atom_site_fract_x
_atom_site_fract_y
_atom_site_fract_z
Al1 0.0000 0.0000 0.0000
Al2 0.5000 0.5000 0.2016
Tl1 0.0000 0.0000 0.4992
Ag1 0.5000 0.5000 0.8063
# D(E_F) = 1.4 states/eV/f.u.
# spin magnetization = 0.00 μB/f.u.
# ΔE_f = 0.151 eV/atom